First-principles (PBE-GGA) data for AcPr6Sm8 after structural relaxation, as listed in Alexandria via LeMat-Bulk.

Computed properties:
* excess energy over the best structure of this formula in the dataset: 0.39 eV per formula unit
* energy relative to the elements: 0.17 eV/atom

a = 8.504 Å, b = 8.504 Å, c = 8.504 Å
α = 71.68°, β = 71.68°, γ = 71.68°
Sites, in units of the cell vectors:
Ac: 0.000 0.000 0.000
Pr: 0.168 0.427 0.620
Pr: 0.380 0.832 0.573
Pr: 0.427 0.620 0.168
Pr: 0.573 0.380 0.832
Pr: 0.620 0.168 0.427
Pr: 0.832 0.573 0.380
Sm: 0.057 0.859 0.388
Sm: 0.141 0.612 0.943
Sm: 0.230 0.230 0.230
Sm: 0.388 0.057 0.859
Sm: 0.612 0.943 0.141
Sm: 0.770 0.770 0.770
Sm: 0.859 0.388 0.057
Sm: 0.943 0.141 0.612

=====

First-principles (PBE-GGA) data for RbAlI2 after structural relaxation, as listed in Alexandria via LeMat-Bulk.

Computed properties:
* total DFT energy (no corrections): -2.564 eV/atom

a = 6.034 Å, b = 6.034 Å, c = 6.034 Å
α = 60.00°, β = 60.00°, γ = 60.00°
Sites, in units of the cell vectors:
Rb: 0.000 0.000 0.000
Al: 0.500 0.500 0.500
I: 0.250 0.250 0.250
I: 0.750 0.750 0.750

=====

First-principles (PBE-GGA) data for TbHg2Pd8 after structural relaxation, as listed in Alexandria via LeMat-Bulk.

Computed properties:
* excess energy over the best structure of this formula in the dataset: 1.18 eV per formula unit
* energy relative to the elements: -0.28 eV/atom

a = 8.013 Å, b = 8.013 Å, c = 4.976 Å
α = 107.97°, β = 107.97°, γ = 124.25°
Sites, in units of the cell vectors:
Tb: 0.000 0.000 0.000
Hg: 0.315 0.685 0.500
Hg: 0.685 0.315 0.500
Pd: 0.104 0.373 0.733
Pd: 0.195 0.805 0.000
Pd: 0.373 0.104 0.733
Pd: 0.488 0.488 0.241
Pd: 0.512 0.512 0.759
Pd: 0.627 0.896 0.267
Pd: 0.805 0.195 0.000
Pd: 0.896 0.627 0.267

=====

no.,total moment (μB per atom),N(E_F) (states/eV/atom)
1,0.00,1.37
2,0.00,0.00
3,0.00,0.54